Material: SrLaSc2
Method: DFT, PBE-GGA
State: optimized geometry

abc: 12.6963 3.7040 6.0402
angles: 90.00 111.30 90.00
Space group Cm (No. 8)
Symmetry-distinct sites (fractional):
Sr 0.0000 0.0000 0.0000
La 0.2872 0.5000 0.3650
Sc 0.0378 0.5000 0.5282
Sc 0.2414 0.0000 0.8235

D(E_F) = 5.1 states/eV/f.u.
formation enthalpy at 0 K = 0.218 eV per atom
volume = 132.3 Å³/f.u.
excess energy over the best structure of this formula in the dataset = 0.066 eV/atom

---

Material: SrLaSc4
Method: DFT, PBE-GGA
State: optimized geometry

abc: 9.2138 9.2138 9.2138
angles: 90.00 90.00 90.00
Space group F-43m (No. 216)
Symmetry-distinct sites (fractional):
Sr 0.0000 0.0000 0.0000
La 0.2500 0.2500 0.7500
Sc 0.1234 0.1234 0.3766

D(E_F) = 11.1 states/eV/f.u.
formation enthalpy at 0 K = 0.289 eV per atom
volume = 195.5 Å³/f.u.